No. 1
VASP calculation (PBE-GGA) on a geometry-optimized Pu2H4Ir structure.

**M_tot**: 1.689 μB/atom
**Uncorrected energy**: -7.511 eV per atom

CIF file:
```
data_Pu2H4Ir
_chemical_formula_sum 'Pu4 H8 Ir2'
_cell_length_a 3.468
_cell_length_b 3.468
_cell_length_c 14.094
_cell_angle_alpha 90.00
_cell_angle_beta 90.00
_cell_angle_gamma 90.00
_space_group_name_H-M_alt 'I 4/m m m'
_space_group_IT_number 139
_space_group_name_Hall '-I 4 2'
loop_
_atom_site_label
_atom_site_fract_x
_atom_site_fract_y
_atom_site_fract_z
Pu1 0.000 0.000 0.142
H1 0.000 0.000 0.307
H2 0.000 0.500 0.000
Ir1 0.000 0.000 0.500
```



No. 2
VASP calculation (PBE-GGA) on a geometry-optimized Pu3H2Ir2 structure.

**M_tot**: 2.205 μB/atom
**Uncorrected energy**: -9.911 eV per atom

CIF file:
```
data_Pu3H2Ir2
_chemical_formula_sum 'Pu6 H4 Ir4'
_cell_length_a 5.832
_cell_length_b 5.727
_cell_length_c 7.782
_cell_angle_alpha 90.00
_cell_angle_beta 117.89
_cell_angle_gamma 90.00
_space_group_name_H-M_alt 'P 1 21/c 1'
_space_group_IT_number 14
loop_
_space_group_symop_operation_xyz
'x,y,z'
'-x,-y,-z'
'-x,y+1/2,-z+1/2'
'x,-y+1/2,z+1/2'
loop_
_atom_site_label
_atom_site_fract_x
_atom_site_fract_y
_atom_site_fract_z
Pu1 0.000 0.000 0.000
Pu2 0.291 0.075 0.740
H1 0.394 0.166 0.058
Ir1 0.277 0.627 0.893
```



No. 3
VASP calculation (PBE-GGA) on a geometry-optimized PuHIr3 structure.

**M_tot**: 0.764 μB/atom
**Uncorrected energy**: -9.045 eV per atom

CIF file:
```
data_PuHIr3
_chemical_formula_sum 'Pu1 H1 Ir3'
_cell_length_a 4.111
_cell_length_b 4.111
_cell_length_c 4.111
_cell_angle_alpha 90.00
_cell_angle_beta 90.00
_cell_angle_gamma 90.00
_space_group_name_H-M_alt 'P m -3 m'
_space_group_IT_number 221
_space_group_name_Hall '-P 4 2 3'
loop_
_atom_site_label
_atom_site_fract_x
_atom_site_fract_y
_atom_site_fract_z
Pu1 0.000 0.000 0.000
H1 0.500 0.500 0.500
Ir1 0.000 0.500 0.500
```



No. 4
VASP calculation (PBE-GGA) on a geometry-optimized PuHIr structure.

**Energy above the lowest structure with this stoichiometry**: 32.8 meV/atom
**M_tot**: 1.554 μB/atom
**Uncorrected energy**: -8.931 eV per atom

CIF file:
```
data_PuHIr
_chemical_formula_sum 'Pu2 H2 Ir2'
_cell_length_a 3.848
_cell_length_b 3.848
_cell_length_c 6.913
_cell_angle_alpha 90.00
_cell_angle_beta 90.00
_cell_angle_gamma 90.00
_space_group_name_H-M_alt 'I 4 m m'
_space_group_IT_number 107
_space_group_name_Hall 'I 4 -2'
loop_
_atom_site_label
_atom_site_fract_x
_atom_site_fract_y
_atom_site_fract_z
Pu1 0.000 0.000 0.000
H1 0.000 0.000 0.325
Ir1 0.000 0.000 0.566
```